# 1
Computed, not measured: an optimized crystal structure of Pu4Hg3Ir at the PBE level of DFT.

The crystal system is tetragonal. The magnetic moment comes out at 0.7 μB/cell. For the formation enthalpy at 0 K, the calculation gives -22.1 kJ per mole of atoms. As for the density of states at the Fermi level: 23.5 states/eV/f.u. The total energy comes out at -8.615 eV/atom.

The structure belongs to space group P4/mmm (No. 123); the cell edges are 3.2664, 3.2664 and 18.0013 Å and the angles 90.00°, 90.00° and 90.00°. The asymmetric unit holds Pu at (0.0000, 0.0000, 0.1008), Pu at (0.0000, 0.0000, 0.3687), Hg at (0.5000, 0.5000, 0.2376), Hg at (0.5000, 0.5000, 0.5000) and Ir at (0.5000, 0.5000, 0.0000).



# 2
Computed, not measured: an optimized crystal structure of Li3GaSn2 at the PBE level of DFT.

The crystal system is hexagonal. The magnetic moment comes out at 0.0 μB/cell. For the formation enthalpy at 0 K, the calculation gives -23.9 kJ per mole of atoms. As for the density of states at the Fermi level: 1.9 states/eV/f.u. The total energy comes out at -3.044 eV/atom.

The structure belongs to space group P6_3/mmc (No. 194); the cell edges are 9.3595, 9.3595 and 6.2747 Å and the angles 90.00°, 90.00° and 120.00°. The asymmetric unit holds Li at (0.1648, 0.3296, 0.0026), Ga at (0.3333, 0.6667, 0.0329), Sn at (0.0000, 0.0000, 0.2500) and Sn at (0.0194, 0.5097, 0.7500).